Model w:
Compound: Sr3WN4
Source: Alexandria
Functional: PBE
Structure: relaxed

Values from the calculation:
The value obtained for the total magnetic moment is 0.000 μB per atom.

a b c (Å): 7.938 6.893 5.794
angles (deg): 90.00 90.00 90.00
Space group Pmn2_1 (No. 31)
Symmetry-distinct sites (fractional):
Sr (0.000, 0.143, 0.000) [2 per cell]
Sr (0.244, 0.326, 0.499) [4 per cell]
W (0.000, 0.821, 0.471) [2 per cell]
N (0.000, 0.089, 0.553) [2 per cell]
N (0.000, 0.816, 0.148) [2 per cell]
N (0.203, 0.692, 0.559) [4 per cell]

---

Model x:
Compound: Sr3WN4
Source: Alexandria
Functional: PBE
Structure: relaxed

Values from the calculation:
The value obtained for the total magnetic moment is 0.000 μB per atom.

a b c (Å): 7.742 8.628 8.502
angles (deg): 90.00 90.00 90.00
Space group Pnma (No. 62)
Symmetry-distinct sites (fractional):
Sr (0.044, 0.030, 0.225) [8 per cell]
Sr (0.168, 0.750, 0.480) [4 per cell]
W (0.219, 0.750, 0.993) [4 per cell]
N (0.009, 0.250, 0.929) [4 per cell]
N (0.170, 0.066, 0.556) [8 per cell]
N (0.210, 0.750, 0.768) [4 per cell]

---

Which of them is the most stable? Correct choice: model w.

---

Model w:
Compound: SrWN2
Source: Alexandria
Functional: PBE
Structure: relaxed

Values from the calculation:
The value obtained for the total magnetic moment is 0.000 μB per atom.

a b c (Å): 2.802 2.802 6.079
angles (deg): 90.00 90.00 90.00
Space group P4/mmm (No. 123)
Symmetry-distinct sites (fractional):
Sr (0.000, 0.000, 0.000) [1 per cell]
W (0.000, 0.000, 0.500) [1 per cell]
N (0.500, 0.500, 0.301) [2 per cell]

---

Model x:
Compound: SrWN2
Source: Alexandria
Functional: PBE
Structure: relaxed

Values from the calculation:
The value obtained for the total magnetic moment is 0.000 μB per atom.

a b c (Å): 5.135 5.135 10.484
angles (deg): 90.00 90.00 90.00
Space group I-42d (No. 122)
Symmetry-distinct sites (fractional):
Sr (0.000, 0.000, 0.000) [4 per cell]
W (0.000, 0.000, 0.500) [4 per cell]
N (0.127, 0.250, 0.625) [8 per cell]

---

Model y:
Compound: SrWN2
Source: Alexandria
Functional: PBE
Structure: relaxed

Values from the calculation:
The value obtained for the total magnetic moment is 0.001 μB per atom.

a b c (Å): 6.103 9.082 5.363
angles (deg): 90.00 90.00 90.00
Space group Cmcm (No. 63)
Symmetry-distinct sites (fractional):
Sr (0.000, 0.152, 0.250) [4 per cell]
W (0.000, 0.500, 0.000) [4 per cell]
N (0.222, 0.434, 0.250) [8 per cell]

---

Model z:
Compound: SrWN2
Source: Alexandria
Functional: PBE
Structure: relaxed

Values from the calculation:
The value obtained for the total magnetic moment is 0.000 μB per atom.

a b c (Å): 3.5365 3.5365 20.0916
angles (deg): 90.00 90.00 120.00
Space group R-3m (No. 166, hexagonal axes)
Symmetry-distinct sites (fractional):
Sr (0.0000, 0.0000, 0.0000) [3 per cell]
W (0.0000, 0.0000, 0.5000) [3 per cell]
N (0.0000, 0.0000, 0.4073) [6 per cell]

---

Which of them is the most stable? Correct choice: model x.

---

Model w:
Compound: Sr3WN
Source: Alexandria
Functional: PBE
Structure: relaxed

Values from the calculation:
The value obtained for the total magnetic moment is 0.357 μB per atom.

a b c (Å): 5.744 5.744 5.744
angles (deg): 90.00 90.00 90.00
Space group Pm-3m (No. 221)
Symmetry-distinct sites (fractional):
Sr (0.000, 0.000, 0.500) [3 per cell]
W (0.000, 0.000, 0.000) [1 per cell]
N (0.500, 0.500, 0.500) [1 per cell]

---

Model x:
Compound: Sr3WN
Source: Alexandria
Functional: PBE
Structure: relaxed

Values from the calculation:
The value obtained for the total magnetic moment is 0.897 μB per atom.

a b c (Å): 5.256 5.256 5.256
angles (deg): 90.00 90.00 90.00
Space group Pm-3m (No. 221)
Symmetry-distinct sites (fractional):
Sr (0.000, 0.000, 0.500) [3 per cell]
W (0.500, 0.500, 0.500) [1 per cell]
N (0.000, 0.000, 0.000) [1 per cell]

---

Which of them is the most stable? Correct choice: model x.

---

Model w:
Compound: Sr2WN4
Source: Alexandria
Functional: PBE
Structure: relaxed

Values from the calculation:
The value obtained for the total magnetic moment is 0.292 μB per atom.

a b c (Å): 4.041 4.041 13.057
angles (deg): 90.00 90.00 90.00
Space group I4/mmm (No. 139)
Symmetry-distinct sites (fractional):
Sr (0.000, 0.000, 0.145) [4 per cell]
W (0.000, 0.000, 0.500) [2 per cell]
N (0.000, 0.000, 0.346) [4 per cell]
N (0.000, 0.500, 0.000) [4 per cell]

---

Model x:
Compound: Sr2WN4
Source: Alexandria
Functional: PBE
Structure: relaxed

Values from the calculation:
The value obtained for the total magnetic moment is 0.441 μB per atom.

a b c (Å): 6.087 6.087 3.452
angles (deg): 90.00 90.00 90.00
Space group P4/mmm (No. 123)
Symmetry-distinct sites (fractional):
Sr (0.000, 0.500, 0.000) [2 per cell]
W (0.000, 0.000, 0.500) [1 per cell]
N (0.224, 0.224, 0.500) [4 per cell]

---

Which of them is the most stable? Correct choice: model w.